# 1
## KNaHfTe3 (GGA-PBE)

Data for KNaHfTe3 after structural relaxation.

Unit cell a=15.812 b=4.289 c=11.928 alpha=90.00 beta=90.00 gamma=90.00
Positions (direct):
Hf: 0.513 0.250 0.665
Hf: 0.013 0.250 0.835
Na: 0.023 0.750 0.588
Te: 0.900 0.250 0.651
Te: 0.590 0.250 0.437
Te: 0.365 0.250 0.283
K: 0.766 0.750 0.456
K: 0.734 0.250 0.956
Te: 0.400 0.250 0.849
Na: 0.523 0.750 0.912
Te: 0.635 0.750 0.717
Te: 0.600 0.750 0.151
Te: 0.100 0.750 0.349
Te: 0.910 0.750 0.937
K: 0.234 0.250 0.544
Te: 0.135 0.750 0.783
Hf: 0.987 0.750 0.165
Na: 0.977 0.250 0.412
Hf: 0.487 0.750 0.335
Na: 0.477 0.250 0.088
K: 0.266 0.750 0.044
Te: 0.410 0.750 0.563
Te: 0.865 0.250 0.217
Te: 0.090 0.250 0.063

For the spin magnetization, the calculation gives 0.002 μB per formula unit. As for the energy above the most stable polymorph in this dataset: 82 meV per atom.

# 2
## ErHg3S4Br (GGA-PBE)

Data for ErHg3S4Br after structural relaxation.

Unit cell a=7.969 b=7.969 c=8.114 alpha=90.00 beta=90.00 gamma=120.00
Positions (direct):
S: 0.860 0.720 0.350
Hg: 0.507 0.493 0.782
S: 0.720 0.860 0.850
S: 0.280 0.140 0.350
Hg: 0.493 0.507 0.282
S: 0.860 0.140 0.350
Hg: 0.014 0.507 0.282
Br: 0.333 0.667 0.553
Hg: 0.507 0.014 0.782
Hg: 0.986 0.493 0.782
Br: 0.667 0.333 0.053
S: 0.140 0.860 0.850
S: 0.140 0.280 0.850
Hg: 0.493 0.986 0.282
Er: 0.000 0.000 0.607
S: 0.667 0.333 0.625
Er: 0.000 0.000 0.107
S: 0.333 0.667 0.125

For the spin magnetization, the calculation gives 0.002 μB per formula unit. The electronic total energy is -3.229 eV per atom.